The following is a DFT calculation (GGA-PBE) of an optimized crystal structure of CaMg2Cr.

Values from the calculation:
- E_tot: -12.97 eV for the cell shown
- Calculated formation energy: 0.462 eV/atom

Cell and atoms, written as POSCAR:
```
CaMg2Cr
1.0
1.674 0.967 10.262
-1.674 0.967 10.262
0.000 -1.934 10.262
Ca Mg Cr
1 2 1
Cartesian
0.000 0.000 0.000 Ca
0.000 0.000 7.357 Mg
0.000 0.000 23.430 Mg
0.000 0.000 15.394 Cr
```

The following is a DFT calculation (GGA-PBE) of an optimized crystal structure of CaMg2CrN4.

Values from the calculation:
- E_tot: -109.19 eV for the cell shown
- Raw formation energy: -6.5 eV/f.u.

Cell and atoms, written as POSCAR:
```
CaMg2CrN4
1.0
7.042 0.000 0.000
0.000 5.748 0.000
0.000 0.000 5.291
Ca Mg Cr N
2 4 2 8
Cartesian
0.000 0.862 0.000 Ca
3.521 4.886 2.646 Ca
1.719 1.910 2.741 Mg
1.802 3.839 0.095 Mg
5.240 3.839 0.095 Mg
5.323 1.910 2.741 Mg
0.000 4.658 2.803 Cr
3.521 1.091 0.157 Cr
0.000 0.680 2.502 N
0.000 4.424 4.531 N
1.433 3.896 2.161 N
2.088 1.853 4.806 N
3.521 1.324 1.886 N
3.521 5.069 5.147 N
4.954 1.853 4.806 N
5.609 3.896 2.161 N
```

The following is a DFT calculation (GGA-PBE) of an optimized crystal structure of Ca2MgCrN4.

Values from the calculation:
- E_tot: -110.38 eV for the cell shown
- Raw formation energy: -6.7 eV/f.u.

Cell and atoms, written as POSCAR:
```
Ca2MgCrN4
1.0
6.938 0.000 0.000
0.000 6.245 0.000
0.000 0.000 5.432
Ca Mg Cr N
4 2 2 8
Cartesian
1.727 1.175 0.000 Ca
1.742 5.069 2.716 Ca
5.196 5.069 2.716 Ca
5.211 1.175 0.000 Ca
0.000 2.141 2.789 Mg
3.469 4.104 0.073 Mg
0.000 4.178 0.121 Cr
3.469 2.067 2.837 Cr
0.000 2.615 4.806 N
0.000 3.938 1.823 N
1.523 5.065 5.172 N
1.946 1.180 2.456 N
3.469 2.307 4.540 N
3.469 3.630 2.090 N
4.992 1.180 2.456 N
5.414 5.065 5.172 N
```

The following is a DFT calculation (GGA-PBE) of an optimized crystal structure of NaCaMg2Cr.

Values from the calculation:
- E_tot: -13.44 eV for the cell shown
- Calculated formation energy: 0.539 eV/atom

Cell and atoms, written as POSCAR:
```
NaCaMg2Cr
1.0
5.326 0.000 0.000
0.000 5.326 0.000
0.000 0.000 5.455
Na Ca Mg Cr
1 1 2 1
Cartesian
0.000 0.000 0.000 Na
2.663 2.663 0.000 Ca
0.000 2.663 2.727 Mg
2.663 0.000 2.727 Mg
0.000 0.000 2.727 Cr
```